# 1
Entry from Alexandria via LeMat-Bulk: crystalline Li4As2Au at its relaxed geometry (PBE-GGA).

Values from the calculation:
Total energy   -3.43 eV/atom

```
data_Li4As2Au
_cell_length_a 4.3529
_cell_length_b 4.3529
_cell_length_c 24.9807
_cell_angle_alpha 90.00
_cell_angle_beta 90.00
_cell_angle_gamma 120.00
_symmetry_space_group_name_H-M 'R -3 m'
_symmetry_Int_Tables_number 166
_symmetry_space_group_name_Hall '-R 3 2"'
loop_
_atom_site_label
_atom_site_type_symbol
_atom_site_fract_x
_atom_site_fract_y
_atom_site_fract_z
Li1 Li 0.0000 0.0000 0.1070
Li2 Li 0.0000 0.0000 0.2975
As1 As 0.0000 0.0000 0.4023
Au1 Au 0.0000 0.0000 0.5000
```

# 2
Entry from Alexandria via LeMat-Bulk: crystalline Li2As3Au at its relaxed geometry (PBE-GGA).

Values from the calculation:
Total energy   -3.78 eV/atom

```
data_Li2As3Au
_cell_length_a 8.672
_cell_length_b 11.387
_cell_length_c 18.628
_cell_angle_alpha 90.00
_cell_angle_beta 90.00
_cell_angle_gamma 90.00
_symmetry_space_group_name_H-M 'F d d d'
_symmetry_Int_Tables_number 70
loop_
_symmetry_equiv_pos_as_xyz
'x,y,z'
'-x,-y,-z'
'-x+1/4,-y+1/4,z'
'x+1/4,y+1/4,-z'
'x,-y+1/4,-z+1/4'
'-x,y+1/4,z+1/4'
'-x+1/4,y,-z+1/4'
'x+1/4,-y,z+1/4'
'x,y+1/2,z+1/2'
'-x,-y+1/2,-z+1/2'
'-x+1/4,-y+3/4,z+1/2'
'x+1/4,y+3/4,-z+1/2'
'x,-y+3/4,-z+3/4'
'-x,y+3/4,z+3/4'
'-x+1/4,y+1/2,-z+3/4'
'x+1/4,-y+1/2,z+3/4'
'x+1/2,y,z+1/2'
'-x+1/2,-y,-z+1/2'
'-x+3/4,-y+1/4,z+1/2'
'x+3/4,y+1/4,-z+1/2'
'x+1/2,-y+1/4,-z+3/4'
'-x+1/2,y+1/4,z+3/4'
'-x+3/4,y,-z+3/4'
'x+3/4,-y,z+3/4'
'x+1/2,y+1/2,z'
'-x+1/2,-y+1/2,-z'
'-x+3/4,-y+3/4,z'
'x+3/4,y+3/4,-z'
'x+1/2,-y+3/4,-z+1/4'
'-x+1/2,y+3/4,z+1/4'
'-x+3/4,y+1/2,-z+1/4'
'x+3/4,-y+1/2,z+1/4'
loop_
_atom_site_label
_atom_site_type_symbol
_atom_site_fract_x
_atom_site_fract_y
_atom_site_fract_z
Li1 Li 0.125 0.001 0.125
Li2 Li 0.125 0.255 0.625
As1 As 0.124 0.359 0.440
As2 As 0.125 0.125 0.406
Au1 Au 0.125 0.125 0.269
```

# 3
Entry from Alexandria via LeMat-Bulk: crystalline Li5AsAu4 at its relaxed geometry (PBE-GGA).

Values from the calculation:
Total energy   -3.25 eV/atom

```
data_Li5AsAu4
_cell_length_a 3.038
_cell_length_b 3.612
_cell_length_c 14.219
_cell_angle_alpha 90.00
_cell_angle_beta 90.00
_cell_angle_gamma 90.00
_symmetry_space_group_name_H-M 'P m m m'
_symmetry_Int_Tables_number 47
loop_
_symmetry_equiv_pos_as_xyz
'x,y,z'
'-x,-y,-z'
'-x,-y,z'
'x,y,-z'
'x,-y,-z'
'-x,y,z'
'-x,y,-z'
'x,-y,z'
loop_
_atom_site_label
_atom_site_type_symbol
_atom_site_fract_x
_atom_site_fract_y
_atom_site_fract_z
Li1 Li 0.000 0.000 0.000
Li2 Li 0.000 0.000 0.201
Li3 Li 0.000 0.000 0.405
As1 As 0.500 0.500 0.500
Au1 Au 0.500 0.500 0.100
Au2 Au 0.500 0.500 0.301
```

# 4
Entry from Alexandria via LeMat-Bulk: crystalline Li8AsAu2 at its relaxed geometry (PBE-GGA).

Values from the calculation:
Distance to the lowest polymorph of the same formula   0.0000 eV per atom
Total energy   -2.90 eV/atom

```
data_Li8AsAu2
_cell_length_a 14.075
_cell_length_b 4.318
_cell_length_c 6.573
_cell_angle_alpha 90.00
_cell_angle_beta 117.82
_cell_angle_gamma 90.00
_symmetry_space_group_name_H-M 'C 1 2/m 1'
_symmetry_Int_Tables_number 12
loop_
_symmetry_equiv_pos_as_xyz
'x,y,z'
'-x,-y,-z'
'-x,y,-z'
'x,-y,z'
'x+1/2,y+1/2,z'
'-x+1/2,-y+1/2,-z'
'-x+1/2,y+1/2,-z'
'x+1/2,-y+1/2,z'
loop_
_atom_site_label
_atom_site_type_symbol
_atom_site_fract_x
_atom_site_fract_y
_atom_site_fract_z
Li1 Li 0.000 0.000 0.222
Li2 Li 0.146 0.500 0.370
Li3 Li 0.146 0.500 0.923
Li4 Li 0.158 0.000 0.660
As1 As 0.000 0.500 0.500
Au1 Au 0.188 0.000 0.187
```